A plane-wave DFT calculation with PBE-GGA was carried out for a relaxed Ce8Os3SeBr4 crystal.

Output
Total magnetic moment (Bohr magnetons per cell): 20.326
Formation energy (no corrections) (eV/atom): -0.9136
DFT total energy (eV per cell): -317.86
Calculated volume (Å³ per atom): 27.69

The structure in CIF format:
```
data_Ce8Os3SeBr4
_cell_length_a 8.2752
_cell_length_b 8.2752
_cell_length_c 22.4072
_cell_angle_alpha 90.00
_cell_angle_beta 90.00
_cell_angle_gamma 120.00
_space_group_name_H-M_alt 'R -3 m'
_space_group_IT_number 166
_space_group_name_Hall '-R 3 2"'
loop_
_atom_site_label
_atom_site_type_symbol
_atom_site_fract_x
_atom_site_fract_y
_atom_site_fract_z
Ce1 Ce 0.0000 0.0000 0.2325
Ce2 Ce 0.0158 0.5079 0.7656
Os1 Os 0.0000 0.5000 0.5000
Se1 Se 0.0000 0.0000 0.5000
Br1 Br 0.0000 0.0000 0.0000
Br2 Br 0.0000 0.5000 0.0000
```